{
  "formula": "Er4CuRh2",
  "functional": "PBE",
  "state": "optimized geometry",
  "formation_energy_kj_per_mol_atoms": -54.2,
  "total_magnetization_mub_per_atom": 0.000,
  "e_above_lowest_polymorph_ev_per_atom": 0.048,
  "crystal_system": "tetragonal",
  "spacegroup": "I4/mmm",
  "total_energy_ev_per_atom": -5.854,
  "lattice_angstrom": [[-3.390, 3.390, 3.413], [3.390, -3.390, 3.413], [3.390, 3.390, -3.413]],
  "species": ["Er", "Er", "Er", "Er", "Cu", "Rh", "Rh"],
  "frac_coords": [[0.000, 0.000, 0.500], [0.000, 0.500, 0.000], [0.500, 0.000, 0.000], [0.500, 0.500, 0.500], [0.000, 0.000, 0.000], [0.000, 0.500, 0.500], [0.500, 0.000, 0.500]]
}

{
  "formula": "BeMoCl2",
  "functional": "PBE",
  "state": "optimized geometry",
  "formation_energy_uncorrected_kj_per_mol_atoms": 51.8,
  "total_magnetization_mub_per_atom": 0.441,
  "e_above_lowest_polymorph_ev_per_atom": 0.841,
  "crystal_system": "monoclinic",
  "spacegroup": "C2/m",
  "total_energy_ev_per_atom": -4.026,
  "lattice_angstrom": [[2.866, -4.068, 0.000], [2.866, 4.068, 0.000], [-1.498, 0.000, 2.832]],
  "species": ["Be", "Mo", "Cl", "Cl"],
  "frac_coords": [[0.000, 0.000, 0.000], [0.500, 0.500, 0.000], [0.000, 0.500, 0.000], [0.500, 0.000, 0.000]]
}

{
  "formula": "CoOs",
  "functional": "PBE",
  "state": "optimized geometry",
  "formation_energy_kj_per_mol_atoms": 41.4,
  "total_magnetization_mub_per_atom": 0.982,
  "crystal_system": "cubic",
  "spacegroup": "Fd-3m",
  "total_energy_ev_per_atom": -8.738,
  "lattice_angstrom": [[0.000, 2.971, 2.971], [2.971, 0.000, 2.971], [2.971, 2.971, 0.000]],
  "species": ["Co", "Co", "Os", "Os"],
  "frac_coords": [[0.125, 0.125, 0.125], [0.875, 0.875, 0.875], [0.375, 0.375, 0.375], [0.625, 0.625, 0.625]]
}